UH2Os: optimized geometry, PBE.

Computed properties:
Volume   11.225 A^3/atom
Total moment   1.79 μB per formula unit
E   -7.0042 eV per atom

Cell: 2.9854 2.9854 17.4517 Å, 90.00 90.00 120.00°
Space group R-3m (No. 166, hexagonal axes)
Inequivalent atoms, fractional coordinates:
U 0.0000 0.0000 0.0000 x3
H 0.0000 0.0000 0.4044 x6
Os 0.0000 0.0000 0.5000 x3